This record from the Alexandria database describes KSrSmFeO6 after structural relaxation. The functional is PBE+U.

Results
Final energy, eV/f.u.: -61.58

a = 5.856 Å, b = 5.856 Å, c = 5.856 Å
α = 60.00°, β = 60.00°, γ = 60.00°
Fractional coordinates of all 10 atoms:
K  0.000  0.000  0.000
Sr  0.500  0.500  0.500
Sm  0.750  0.750  0.750
Fe  0.250  0.250  0.250
O  0.024  0.024  0.476
O  0.024  0.476  0.024
O  0.024  0.476  0.476
O  0.476  0.024  0.024
O  0.476  0.024  0.476
O  0.476  0.476  0.024